Li2V2MoO6 | PBE+U | relaxed

```
Li2V2MoO6
1.0
-3.844 -2.947 -2.099
3.305 -2.085 3.549
-2.881 3.071 3.178
Li V Mo O
2 2 1 6
Cartesian
-2.582 -2.795 -1.102 Li
2.044 -2.237 2.553 Li
-0.551 -0.841 3.230 V
-2.869 -1.120 1.399 V
-1.441 1.536 1.589 Mo
-2.485 -1.540 3.381 O
-0.934 1.207 3.606 O
-0.935 -0.421 1.248 O
-3.448 0.904 1.620 O
-2.486 -3.168 1.023 O
0.028 -2.865 3.009 O
```

Computed properties:
Size of the total moment ... 4.00 μB/f.u.
E_tot ... -76.60 eV per cell